CdFeOF2 (PBE with a Hubbard U, relaxed); calculated total energy = -4.5544 eV per atom; distance to the lowest polymorph of the same formula = 0 meV/atom; SG = P4/mmm, No. 123; D(E_F) = 3.1 states/eV per cell
1.0
4.1238 0.0000 0.0000
0.0000 4.1238 0.0000
0.0000 0.0000 3.8957
Cd Fe F O
1 1 2 1
direct
0.5000 0.5000 0.5000 Cd
0.0000 0.0000 0.0000 Fe
0.5000 0.0000 0.0000 F
0.0000 0.5000 0.0000 F
0.0000 0.0000 0.5000 O